1.
The following is a GGA-PBE calculation of a relaxed ReSiOs2 crystal, from Alexandria.

Output
Final energy   -9.986 eV/atom
Energy relative to the elements, uncorrected   0.096 eV per atom

Cell and atoms, written as CIF:
```
data_ReSiOs2
_cell_length_a 9.004
_cell_length_b 2.798
_cell_length_c 4.564
_cell_angle_alpha 90.00
_cell_angle_beta 97.93
_cell_angle_gamma 90.00
_symmetry_space_group_name_H-M 'C 1 m 1'
_symmetry_Int_Tables_number 8
loop_
_symmetry_equiv_pos_as_xyz
'x,y,z'
'x,-y,z'
'x+1/2,y+1/2,z'
'x+1/2,-y+1/2,z'
loop_
_atom_site_label
_atom_site_type_symbol
_atom_site_fract_x
_atom_site_fract_y
_atom_site_fract_z
Re1 Re 0.000 0.000 0.000
Si1 Si 0.263 0.500 0.298
Os1 Os 0.016 0.500 0.497
Os2 Os 0.256 0.000 0.800
```

---

2.
The following is a GGA-PBE calculation of a relaxed MnAuCl2 crystal, from Alexandria.

Output
Final energy   -3.663 eV/atom
Energy relative to the elements, uncorrected   0.372 eV per atom
Distance to the lowest polymorph of the same formula   3.227 eV per formula unit

Cell and atoms, written as CIF:
```
data_MnAuCl2
_cell_length_a 6.446
_cell_length_b 6.446
_cell_length_c 8.810
_cell_angle_alpha 90.00
_cell_angle_beta 90.00
_cell_angle_gamma 90.00
_symmetry_space_group_name_H-M 'I -4 2 d'
_symmetry_Int_Tables_number 122
_symmetry_space_group_name_Hall 'I -4 2bw'
loop_
_atom_site_label
_atom_site_type_symbol
_atom_site_fract_x
_atom_site_fract_y
_atom_site_fract_z
Mn1 Mn 0.000 0.000 0.000
Au1 Au 0.000 0.000 0.500
Cl1 Cl 0.143 0.250 0.125
```

---

3.
The following is a GGA-PBE calculation of a relaxed TbFeTc crystal, from Alexandria.

Output
Final energy   -7.911 eV/atom
Distance to the lowest polymorph of the same formula   0.000 eV per formula unit
Calculated formation energy   -91 meV/atom

Cell and atoms, written as CIF:
```
data_TbFeTc
_cell_length_a 5.098
_cell_length_b 5.342
_cell_length_c 7.728
_cell_angle_alpha 90.00
_cell_angle_beta 90.00
_cell_angle_gamma 90.00
_symmetry_space_group_name_H-M 'I m m a'
_symmetry_Int_Tables_number 74
_symmetry_space_group_name_Hall '-I 2b 2'
loop_
_atom_site_label
_atom_site_type_symbol
_atom_site_fract_x
_atom_site_fract_y
_atom_site_fract_z
Tb1 Tb 0.000 0.250 0.123
Fe1 Fe 0.000 0.000 0.500
Tc1 Tc 0.250 0.250 0.750
```

---

4.
The following is a GGA-PBE calculation of a relaxed Ba2LaW crystal, from Alexandria.

Output
Final energy   -4.222 eV/atom
Distance to the lowest polymorph of the same formula   1.901 eV per formula unit
Calculated formation energy   1209 meV/atom

Cell and atoms, written as CIF:
```
data_Ba2LaW
_cell_length_a 6.723
_cell_length_b 12.557
_cell_length_c 3.585
_cell_angle_alpha 90.00
_cell_angle_beta 118.22
_cell_angle_gamma 90.00
_symmetry_space_group_name_H-M 'C 1 2/m 1'
_symmetry_Int_Tables_number 12
loop_
_symmetry_equiv_pos_as_xyz
'x,y,z'
'-x,-y,-z'
'-x,y,-z'
'x,-y,z'
'x+1/2,y+1/2,z'
'-x+1/2,-y+1/2,-z'
'-x+1/2,y+1/2,-z'
'x+1/2,-y+1/2,z'
loop_
_atom_site_label
_atom_site_type_symbol
_atom_site_fract_x
_atom_site_fract_y
_atom_site_fract_z
Ba1 Ba 0.250 0.250 0.000
La1 La 0.000 0.000 0.500
W1 W 0.000 0.500 0.500
```

---

5.
The following is a GGA-PBE calculation of a relaxed KTl4Sb2 crystal, from Alexandria.

Output
Final energy   -2.817 eV/atom
Energy relative to the elements, uncorrected   -0.130 eV per atom

Cell and atoms, written as CIF:
```
data_KTl4Sb2
_cell_length_a 5.038
_cell_length_b 19.307
_cell_length_c 5.007
_cell_angle_alpha 90.00
_cell_angle_beta 90.00
_cell_angle_gamma 90.00
_symmetry_space_group_name_H-M 'C m m m'
_symmetry_Int_Tables_number 65
_symmetry_space_group_name_Hall '-C 2 2'
loop_
_atom_site_label
_atom_site_type_symbol
_atom_site_fract_x
_atom_site_fract_y
_atom_site_fract_z
K1 K 0.000 0.000 0.000
Tl1 Tl 0.000 0.181 0.500
Tl2 Tl 0.000 0.320 0.000
Sb1 Sb 0.000 0.425 0.500
```

---

6.
The following is a GGA-PBE calculation of a relaxed Na2Hg2Rh crystal, from Alexandria.

Output
Final energy   -2.092 eV/atom
Calculated formation energy   27 meV/atom

Cell and atoms, written as CIF:
```
data_Na2Hg2Rh
_cell_length_a 7.111
_cell_length_b 7.111
_cell_length_c 4.766
_cell_angle_alpha 90.00
_cell_angle_beta 90.00
_cell_angle_gamma 90.00
_symmetry_space_group_name_H-M 'P 4/m b m'
_symmetry_Int_Tables_number 127
_symmetry_space_group_name_Hall '-P 4 2ab'
loop_
_atom_site_label
_atom_site_type_symbol
_atom_site_fract_x
_atom_site_fract_y
_atom_site_fract_z
Na1 Na 0.174 0.326 0.000
Hg1 Hg 0.150 0.650 0.500
Rh1 Rh 0.000 0.000 0.500
```

---

7.
The following is a GGA-PBE calculation of a relaxed KZr3Ir crystal, from Alexandria.

Output
Final energy   -6.770 eV/atom
Distance to the lowest polymorph of the same formula   0.000 eV per formula unit
Calculated formation energy   350 meV/atom

Cell and atoms, written as CIF:
```
data_KZr3Ir
_cell_length_a 5.220
_cell_length_b 5.220
_cell_length_c 5.220
_cell_angle_alpha 90.00
_cell_angle_beta 90.00
_cell_angle_gamma 90.00
_symmetry_space_group_name_H-M 'P m -3 m'
_symmetry_Int_Tables_number 221
_symmetry_space_group_name_Hall '-P 4 2 3'
loop_
_atom_site_label
_atom_site_type_symbol
_atom_site_fract_x
_atom_site_fract_y
_atom_site_fract_z
K1 K 0.000 0.000 0.000
Zr1 Zr 0.000 0.500 0.500
Ir1 Ir 0.500 0.500 0.500
```

---

8.
The following is a GGA-PBE calculation of a relaxed TiCr2Si crystal, from Alexandria.

Output
Final energy   -7.697 eV/atom
Energy relative to the elements, uncorrected   0.444 eV per atom

Cell and atoms, written as CIF:
```
data_TiCr2Si
_cell_length_a 6.678
_cell_length_b 6.678
_cell_length_c 5.064
_cell_angle_alpha 90.00
_cell_angle_beta 90.00
_cell_angle_gamma 90.00
_symmetry_space_group_name_H-M 'I -4 2 d'
_symmetry_Int_Tables_number 122
_symmetry_space_group_name_Hall 'I -4 2bw'
loop_
_atom_site_label
_atom_site_type_symbol
_atom_site_fract_x
_atom_site_fract_y
_atom_site_fract_z
Ti1 Ti 0.000 0.000 0.000
Cr1 Cr 0.223 0.250 0.625
Si1 Si 0.000 0.000 0.500
```